Record 1
{
  "formula": "Hf5Cd2",
  "functional": "PBE",
  "state": "relaxed",
  "m_tot_mub_per_cell": 0.0,
  "formation_energy_ev_per_fu": 0.9,
  "energy_ev_per_cell": -50.7,
  "cell": [[7.6533, -1.5425, 0.0000], [7.6533, 1.5425, 0.0000], [-3.7669, 0.0000, 6.6854]],
  "species": ["Hf", "Hf", "Hf", "Hf", "Hf", "Cd", "Cd"],
  "fractional_positions": [[0.0000, 0.0000, 0.0000], [0.2735, 0.2735, 0.8499], [0.3473, 0.3473, 0.5671], [0.6527, 0.6527, 0.4329], [0.7265, 0.7265, 0.1501], [0.4317, 0.4317, 0.2786], [0.5683, 0.5683, 0.7214]]
}

Record 2
{
  "formula": "ScIn5Br8",
  "functional": "PBE",
  "state": "relaxed",
  "raw_formation_energy_ev_per_atom": -0.89,
  "m_tot_mub_per_cell": 0.0,
  "energy_ev_per_cell": -45.8,
  "cell": [[-5.7608, 5.7608, 4.7299], [5.7608, -5.7608, 4.7299], [5.7608, 5.7608, -4.7299]],
  "species": ["Sc", "In", "In", "In", "In", "In", "Br", "Br", "Br", "Br", "Br", "Br", "Br", "Br"],
  "fractional_positions": [[0.0000, 0.0000, 0.0000], [0.1675, 0.6161, 0.0102], [0.2500, 0.7500, 0.5000], [0.3839, 0.3941, 0.5514], [0.6059, 0.1573, 0.9898], [0.8427, 0.8325, 0.4486], [0.3188, 0.1000, 0.1566], [0.3449, 0.1383, 0.7058], [0.3609, 0.6551, 0.7934], [0.4325, 0.6391, 0.2942], [0.8378, 0.6812, 0.7812], [0.8617, 0.5675, 0.2066], [0.9000, 0.0567, 0.2188], [0.9433, 0.1622, 0.8434]]
}

Record 3
{
  "formula": "Nd4Dy6Ho",
  "functional": "PBE",
  "state": "relaxed",
  "relative_energy_ev_per_fu": 0.00,
  "m_tot_mub_per_cell": 0.0,
  "formation_energy_ev_per_fu": 3.2,
  "energy_ev_per_cell": -48.0,
  "cell": [[-3.3334, 3.3334, 8.5084], [3.3334, -3.3334, 8.5084], [3.3334, 3.3334, -8.5084]],
  "species": ["Nd", "Nd", "Nd", "Nd", "Dy", "Dy", "Dy", "Dy", "Dy", "Dy", "Ho"],
  "fractional_positions": [[0.1346, 0.1346, 0.6206], [0.4859, 0.8654, 0.0000], [0.5141, 0.5141, 0.3794], [0.8654, 0.4859, 0.0000], [0.0000, 0.5000, 0.5000], [0.0532, 0.6979, 0.0000], [0.3021, 0.3021, 0.3553], [0.5000, 0.0000, 0.5000], [0.6979, 0.0532, 0.0000], [0.9468, 0.9468, 0.6447], [0.5000, 0.5000, 0.0000]]
}

Record 4
{
  "formula": "Rb2RuBr2Cl4",
  "functional": "PBE",
  "state": "relaxed",
  "raw_formation_energy_ev_per_atom": -1.13,
  "m_tot_mub_per_cell": 2.0,
  "energy_ev_per_cell": -32.1,
  "cell": [[-3.6832, 3.6832, 5.1201], [3.6832, -3.6832, 5.1201], [3.6832, 3.6832, -5.1201]],
  "species": ["Rb", "Rb", "Ru", "Br", "Br", "Cl", "Cl", "Cl", "Cl"],
  "fractional_positions": [[0.2500, 0.7500, 0.5000], [0.7500, 0.2500, 0.5000], [0.0000, 0.0000, 0.0000], [0.2453, 0.2453, 0.0000], [0.7547, 0.7547, 0.0000], [0.2260, 0.2260, 0.4520], [0.2260, 0.7740, 0.0000], [0.7740, 0.2260, 0.0000], [0.7740, 0.7740, 0.5480]]
}

Record 5
{
  "formula": "ZnHgI2",
  "functional": "PBE",
  "state": "relaxed",
  "raw_formation_energy_ev_per_atom": 0.11,
  "relative_energy_ev_per_fu": 2.08,
  "m_tot_mub_per_cell": 0.0,
  "energy_ev_per_cell": -4.2,
  "cell": [[0.0000, 3.9020, 3.9020], [3.9020, 0.0000, 3.9020], [3.9020, 3.9020, 0.0000]],
  "species": ["Zn", "Hg", "I", "I"],
  "fractional_positions": [[0.0000, 0.0000, 0.0000], [0.5000, 0.5000, 0.5000], [0.2500, 0.2500, 0.2500], [0.7500, 0.7500, 0.7500]]
}

Record 6
{
  "formula": "BaAl2Ag",
  "functional": "PBE",
  "state": "relaxed",
  "m_tot_mub_per_cell": 0.0,
  "formation_energy_ev_per_fu": 0.0,
  "energy_ev_per_cell": -12.3,
  "cell": [[3.5167, 0.0000, 0.0000], [0.0000, 3.5167, 0.0000], [0.0000, 0.0000, 7.8666]],
  "species": ["Ba", "Al", "Al", "Ag"],
  "fractional_positions": [[0.0000, 0.0000, 0.0000], [0.0000, 0.0000, 0.4894], [0.5000, 0.5000, 0.6822], [0.5000, 0.5000, 0.3291]]
}

Record 7
{
  "formula": "ScAlSe4",
  "functional": "PBE",
  "state": "relaxed",
  "raw_formation_energy_ev_per_atom": 0.25,
  "m_tot_mub_per_cell": 0.0,
  "energy_ev_per_cell": -22.5,
  "cell": [[0.0000, 4.0463, 4.0463], [4.0463, 0.0000, 4.0463], [4.0463, 4.0463, 0.0000]],
  "species": ["Sc", "Al", "Se", "Se", "Se", "Se"],
  "fractional_positions": [[0.0000, 0.0000, 0.0000], [0.2500, 0.2500, 0.2500], [0.1236, 0.6255, 0.6255], [0.6255, 0.1236, 0.6255], [0.6255, 0.6255, 0.1236], [0.6255, 0.6255, 0.6255]]
}

Record 8
{
  "formula": "Sr2Ag2Pd",
  "functional": "PBE",
  "state": "relaxed",
  "relative_energy_ev_per_fu": 0.55,
  "m_tot_mub_per_cell": 0.0,
  "formation_energy_ev_per_fu": -1.4,
  "energy_ev_per_cell": -15.6,
  "cell": [[-1.9448, 1.9448, 9.0906], [1.9448, -1.9448, 9.0906], [1.9448, 1.9448, -9.0906]],
  "species": ["Sr", "Sr", "Ag", "Ag", "Pd"],
  "fractional_positions": [[0.0992, 0.0992, 0.0000], [0.9008, 0.9008, 0.0000], [0.2500, 0.7500, 0.5000], [0.7500, 0.2500, 0.5000], [0.5000, 0.5000, 0.0000]]
}

Record 9
{
  "formula": "RbNdP4O12",
  "functional": "PBE",
  "state": "relaxed",
  "raw_formation_energy_ev_per_atom": -2.45,
  "m_tot_mub_per_cell": 0.0,
  "energy_ev_per_cell": -262.0,
  "cell": [[4.0348, -6.5512, 0.0000], [4.0348, 6.5512, 0.0000], [-3.8976, 0.0000, 10.0912]],
  "species": ["Rb", "Rb", "Nd", "Nd", "P", "P", "P", "P", "P", "P", "P", "P", "O", "O", "O", "O", "O", "O", "O", "O", "O", "O", "O", "O", "O", "O", "O", "O", "O", "O", "O", "O", "O", "O", "O", "O"],
  "fractional_positions": [[0.1928, 0.8072, 0.7500], [0.8072, 0.1928, 0.2500], [0.1230, 0.8770, 0.2500], [0.8770, 0.1230, 0.7500], [0.2514, 0.3054, 0.5484], [0.2928, 0.6188, 0.0111], [0.3054, 0.2514, 0.0484], [0.3812, 0.7072, 0.4889], [0.6188, 0.2928, 0.5111], [0.6946, 0.7486, 0.9516], [0.7072, 0.3812, 0.9889], [0.7486, 0.6946, 0.4516], [0.1006, 0.4857, 0.8956], [0.1418, 0.1659, 0.4077], [0.1659, 0.1418, 0.9077], [0.1668, 0.2494, 0.6571], [0.2055, 0.6890, 0.3879], [0.2494, 0.1668, 0.1571], [0.2795, 0.5279, 0.5552], [0.3110, 0.7945, 0.1121], [0.3566, 0.4878, 0.0897], [0.4721, 0.7205, 0.9448], [0.4857, 0.1006, 0.3956], [0.4878, 0.3566, 0.5897], [0.5122, 0.6434, 0.4103], [0.5143, 0.8994, 0.6044], [0.5279, 0.2795, 0.0552], [0.6434, 0.5122, 0.9103], [0.6890, 0.2055, 0.8879], [0.7205, 0.4721, 0.4448], [0.7506, 0.8332, 0.8429], [0.7945, 0.3110, 0.6121], [0.8332, 0.7506, 0.3429], [0.8340, 0.8582, 0.0923], [0.8582, 0.8340, 0.5923], [0.8994, 0.5143, 0.1044]]
}

Record 10
{
  "formula": "Ta2GaFe2Co5",
  "functional": "PBE",
  "state": "relaxed",
  "m_tot_mub_per_cell": 9.9,
  "formation_energy_ev_per_fu": -0.6,
  "energy_ev_per_cell": -159.5,
  "cell": [[8.3110, 0.0000, 0.0000], [0.0000, 8.3110, 0.0000], [0.0000, 0.0000, 3.6503]],
  "species": ["Ta", "Ta", "Ta", "Ta", "Ga", "Ga", "Fe", "Fe", "Fe", "Fe", "Co", "Co", "Co", "Co", "Co", "Co", "Co", "Co", "Co", "Co"],
  "fractional_positions": [[0.1711, 0.3289, 0.0000], [0.3289, 0.8289, 0.0000], [0.6711, 0.1711, 0.0000], [0.8289, 0.6711, 0.0000], [0.0000, 0.0000, 0.0000], [0.5000, 0.5000, 0.0000], [0.1265, 0.6265, 0.0000], [0.3735, 0.1265, 0.0000], [0.6265, 0.8735, 0.0000], [0.8735, 0.3735, 0.0000], [0.0000, 0.5000, 0.5000], [0.0685, 0.7942, 0.5000], [0.2058, 0.0685, 0.5000], [0.2942, 0.5685, 0.5000], [0.4315, 0.2942, 0.5000], [0.5000, 0.0000, 0.5000], [0.5685, 0.7058, 0.5000], [0.7058, 0.4315, 0.5000], [0.7942, 0.9315, 0.5000], [0.9315, 0.2058, 0.5000]]
}

Record 11
{
  "formula": "InHg2Te2Se",
  "functional": "PBE",
  "state": "relaxed",
  "raw_formation_energy_ev_per_atom": -0.17,
  "m_tot_mub_per_cell": 0.0,
  "energy_ev_per_cell": -28.3,
  "cell": [[6.8575, -4.0257, 0.0000], [6.8575, 4.0257, 0.0000], [0.0000, 0.0000, 7.8606]],
  "species": ["In", "In", "Hg", "Hg", "Hg", "Hg", "Te", "Te", "Te", "Te", "Se", "Se"],
  "fractional_positions": [[0.1615, 0.8385, 0.5000], [0.8385, 0.1615, 0.0000], [0.1521, 0.5156, 0.9654], [0.4844, 0.8479, 0.9654], [0.5156, 0.1521, 0.4654], [0.8479, 0.4844, 0.4654], [0.1806, 0.4937, 0.3354], [0.4937, 0.1806, 0.8354], [0.5063, 0.8194, 0.3354], [0.8194, 0.5063, 0.8354], [0.1505, 0.8495, 0.8576], [0.8495, 0.1505, 0.3576]]
}

Record 12
{
  "formula": "ZrC3",
  "functional": "PBE",
  "state": "relaxed",
  "relative_energy_ev_per_fu": 0.00,
  "m_tot_mub_per_cell": 0.0,
  "formation_energy_ev_per_fu": 1.0,
  "energy_ev_per_cell": -140.7,
  "cell": [[6.3575, 0.0000, 0.0000], [0.0000, 5.5518, 0.0000], [0.0000, 0.0000, 6.0428]],
  "species": ["Zr", "Zr", "Zr", "Zr", "C", "C", "C", "C", "C", "C", "C", "C", "C", "C", "C", "C"],
  "fractional_positions": [[0.1314, 0.2500, 0.1249], [0.3686, 0.7500, 0.6249], [0.6314, 0.2500, 0.3751], [0.8686, 0.7500, 0.8751], [0.1168, 0.2500, 0.7363], [0.1176, 0.0156, 0.7699], [0.1176, 0.4844, 0.7699], [0.3824, 0.5156, 0.2699], [0.3824, 0.9844, 0.2699], [0.3832, 0.7500, 0.2363], [0.6168, 0.2500, 0.7637], [0.6176, 0.0156, 0.7301], [0.6176, 0.4844, 0.7301], [0.8824, 0.5156, 0.2301], [0.8824, 0.9844, 0.2301], [0.8832, 0.7500, 0.2637]]
}

Record 13
{
  "formula": "EuAg4Ge",
  "functional": "PBE",
  "state": "relaxed",
  "m_tot_mub_per_cell": 7.0,
  "formation_energy_ev_per_fu": -0.8,
  "energy_ev_per_cell": -27.1,
  "cell": [[0.0000, 3.9816, 3.9816], [3.9816, 0.0000, 3.9816], [3.9816, 3.9816, 0.0000]],
  "species": ["Eu", "Ag", "Ag", "Ag", "Ag", "Ge"],
  "fractional_positions": [[0.0000, 0.0000, 0.0000], [0.3751, 0.3751, 0.3751], [0.3751, 0.3751, 0.8747], [0.3751, 0.8747, 0.3751], [0.8747, 0.3751, 0.3751], [0.7500, 0.7500, 0.7500]]
}

Record 14
{
  "formula": "Pm2CdPb9",
  "functional": "PBE",
  "state": "relaxed",
  "m_tot_mub_per_cell": 0.0,
  "formation_energy_ev_per_fu": -2.6,
  "energy_ev_per_cell": -46.4,
  "cell": [[4.8129, 0.0000, 0.0000], [0.0000, 4.8129, 0.0000], [0.0000, 0.0000, 15.4445]],
  "species": ["Pm", "Pm", "Cd", "Pb", "Pb", "Pb", "Pb", "Pb", "Pb", "Pb", "Pb", "Pb"],
  "fractional_positions": [[0.0000, 0.0000, 0.1562], [0.0000, 0.0000, 0.8438], [0.0000, 0.0000, 0.5000], [0.0000, 0.5000, 0.0000], [0.0000, 0.5000, 0.3346], [0.0000, 0.5000, 0.6654], [0.5000, 0.0000, 0.0000], [0.5000, 0.0000, 0.3346], [0.5000, 0.0000, 0.6654], [0.5000, 0.5000, 0.1711], [0.5000, 0.5000, 0.5000], [0.5000, 0.5000, 0.8289]]
}

Record 15
{
  "formula": "K2Ge2Ir",
  "functional": "PBE",
  "state": "relaxed",
  "m_tot_mub_per_cell": 0.0,
  "formation_energy_ev_per_fu": -0.3,
  "energy_ev_per_cell": -41.1,
  "cell": [[6.5148, 0.0000, 0.0000], [0.0000, 6.5148, 0.0000], [0.0000, 0.0000, 5.7281]],
  "species": ["K", "K", "K", "K", "Ge", "Ge", "Ge", "Ge", "Ir", "Ir"],
  "fractional_positions": [[0.1807, 0.3193, 0.0000], [0.3193, 0.8193, 0.0000], [0.6807, 0.1807, 0.0000], [0.8193, 0.6807, 0.0000], [0.1473, 0.6473, 0.5000], [0.3527, 0.1473, 0.5000], [0.6473, 0.8527, 0.5000], [0.8527, 0.3527, 0.5000], [0.0000, 0.0000, 0.5000], [0.5000, 0.5000, 0.5000]]
}

Record 16
{
  "formula": "LiZrN2",
  "functional": "PBE",
  "state": "relaxed",
  "raw_formation_energy_ev_per_atom": -0.75,
  "relative_energy_ev_per_fu": 0.13,
  "m_tot_mub_per_cell": 0.0,
  "energy_ev_per_cell": -30.1,
  "cell": [[1.6320, 0.9422, 5.2475], [-1.6320, 0.9422, 5.2475], [0.0000, -1.8845, 5.2475]],
  "species": ["Li", "Zr", "N", "N"],
  "fractional_positions": [[0.0000, 0.0000, 0.0000], [0.1799, 0.1799, 0.1799], [0.5881, 0.5881, 0.5881], [0.7729, 0.7729, 0.7729]]
}

Record 17
{
  "formula": "Pr6Ho8Th",
  "functional": "PBE",
  "state": "relaxed",
  "m_tot_mub_per_cell": 0.0,
  "formation_energy_ev_per_fu": 1.8,
  "energy_ev_per_cell": -70.9,
  "cell": [[4.5623, 2.6340, 7.0045], [-4.5623, 2.6340, 7.0045], [0.0000, -5.2681, 7.0045]],
  "species": ["Pr", "Pr", "Pr", "Pr", "Pr", "Pr", "Ho", "Ho", "Ho", "Ho", "Ho", "Ho", "Ho", "Ho", "Th"],
  "fractional_positions": [[0.0369, 0.5978, 0.7305], [0.2695, 0.9631, 0.4022], [0.4022, 0.2695, 0.9631], [0.5978, 0.7305, 0.0369], [0.7305, 0.0369, 0.5978], [0.9631, 0.4022, 0.2695], [0.0771, 0.0771, 0.0771], [0.2114, 0.6140, 0.2598], [0.2598, 0.2114, 0.6140], [0.3860, 0.7402, 0.7886], [0.6140, 0.2598, 0.2114], [0.7402, 0.7886, 0.3860], [0.7886, 0.3860, 0.7402], [0.9229, 0.9229, 0.9229], [0.5000, 0.5000, 0.5000]]
}

Record 18
{
  "formula": "CaCrNi",
  "functional": "PBE",
  "state": "relaxed",
  "relative_energy_ev_per_fu": 0.10,
  "m_tot_mub_per_cell": 0.0,
  "formation_energy_ev_per_fu": 0.8,
  "energy_ev_per_cell": -33.3,
  "cell": [[3.0316, -2.6975, 0.0000], [3.0316, 2.6975, 0.0000], [-0.1474, 0.0000, 6.9448]],
  "species": ["Ca", "Ca", "Cr", "Cr", "Ni", "Ni"],
  "fractional_positions": [[0.2460, 0.2460, 0.1597], [0.7540, 0.7540, 0.8403], [0.2905, 0.7095, 0.5000], [0.7095, 0.2905, 0.5000], [0.2130, 0.2130, 0.6678], [0.7870, 0.7870, 0.3322]]
}

Record 19
{
  "formula": "GdTm2Sc",
  "functional": "PBE",
  "state": "relaxed",
  "relative_energy_ev_per_fu": 0.01,
  "m_tot_mub_per_cell": 7.4,
  "formation_energy_ev_per_fu": 0.2,
  "energy_ev_per_cell": -29.2,
  "cell": [[3.4556, 0.0000, 0.0000], [0.0000, 3.4556, 0.0000], [0.0000, 0.0000, 9.7551]],
  "species": ["Gd", "Tm", "Tm", "Sc"],
  "fractional_positions": [[0.0000, 0.0000, 0.0000], [0.5000, 0.5000, 0.2629], [0.5000, 0.5000, 0.7371], [0.0000, 0.0000, 0.5000]]
}

Record 20
{
  "formula": "PmErZnIr",
  "functional": "PBE",
  "state": "relaxed",
  "m_tot_mub_per_cell": 0.0,
  "formation_energy_ev_per_fu": -2.3,
  "energy_ev_per_cell": -21.8,
  "cell": [[4.3273, 0.0000, 0.0000], [0.0000, 1.9749, 5.3782], [0.0000, -1.9749, 5.3782]],
  "species": ["Pm", "Er", "Zn", "Ir"],
  "fractional_positions": [[0.0000, 0.0000, 0.0000], [0.5000, 0.7195, 0.7195], [0.5000, 0.4258, 0.4258], [0.0000, 0.2828, 0.2828]]
}

Record 21
{
  "formula": "Tl2SnB2O6",
  "functional": "PBE",
  "state": "relaxed",
  "raw_formation_energy_ev_per_atom": -1.74,
  "m_tot_mub_per_cell": 0.0,
  "energy_ev_per_cell": -71.0,
  "cell": [[2.6196, 1.5124, 7.1508], [-2.6196, 1.5124, 7.1508], [0.0000, -3.0249, 7.1508]],
  "species": ["Tl", "Tl", "Sn", "B", "B", "O", "O", "O", "O", "O", "O"],
  "fractional_positions": [[0.2178, 0.2178, 0.2178], [0.7822, 0.7822, 0.7822], [0.0000, 0.0000, 0.0000], [0.3881, 0.3881, 0.3881], [0.6119, 0.6119, 0.6119], [0.2397, 0.2397, 0.6958], [0.2397, 0.6958, 0.2397], [0.3042, 0.7603, 0.7603], [0.6958, 0.2397, 0.2397], [0.7603, 0.3042, 0.7603], [0.7603, 0.7603, 0.3042]]
}

Record 22
{
  "formula": "BaZnSe2",
  "functional": "PBE",
  "state": "relaxed",
  "raw_formation_energy_ev_per_atom": -1.08,
  "m_tot_mub_per_cell": 0.0,
  "energy_ev_per_cell": -14.5,
  "cell": [[2.1469, 1.2395, 6.8768], [-2.1469, 1.2395, 6.8768], [0.0000, -2.4791, 6.8768]],
  "species": ["Ba", "Zn", "Se", "Se"],
  "fractional_positions": [[0.0000, 0.0000, 0.0000], [0.5000, 0.5000, 0.5000], [0.2319, 0.2319, 0.2319], [0.7681, 0.7681, 0.7681]]
}